The following is a PBE calculation of HfInPd6 after structural relaxation, from the Alexandria database.

CIF file:
```
data_HfInPd6
_cell_length_a 4.0281
_cell_length_b 4.0281
_cell_length_c 8.0449
_cell_angle_alpha 90.00
_cell_angle_beta 90.00
_cell_angle_gamma 90.00
_space_group_name_H-M_alt 'P 1'
_space_group_IT_number 1
_space_group_name_Hall 'P 1'
loop_
_atom_site_label
_atom_site_fract_x
_atom_site_fract_y
_atom_site_fract_z
Hf1 0.0000 0.0000 0.0000
In1 0.0000 0.0000 0.5000
Pd1 0.0000 0.5000 0.2446
Pd2 0.0000 0.5000 0.7554
Pd3 0.5000 0.0000 0.2446
Pd4 0.5000 0.0000 0.7554
Pd5 0.5000 0.5000 0.0000
Pd6 0.5000 0.5000 0.5000
```

Computed properties:
As for the symmetry: P4/mmm, No. 123. For the density of states at the Fermi level, the calculation gives 2.4 states/eV/f.u. The size of the total moment is 0.000 μB per atom. The value obtained for the formation energy is -5.535 eV per formula unit.

The following is a PBE calculation of TmTlIO6 after structural relaxation, from the Alexandria database.

CIF file:
```
data_TmTlIO6
_cell_length_a 5.6385
_cell_length_b 5.6385
_cell_length_c 10.0293
_cell_angle_alpha 90.00
_cell_angle_beta 90.00
_cell_angle_gamma 120.00
_space_group_name_H-M_alt 'P 1'
_space_group_IT_number 1
_space_group_name_Hall 'P 1'
loop_
_atom_site_label
_atom_site_fract_x
_atom_site_fract_y
_atom_site_fract_z
Tm1 0.3333 0.6667 0.2500
Tm2 0.6667 0.3333 0.7500
Tl1 0.0000 0.0000 0.0000
Tl2 0.0000 0.0000 0.5000
I1 0.3333 0.6667 0.7500
I2 0.6667 0.3333 0.2500
O1 0.0425 0.3946 0.6429
O2 0.0425 0.6479 0.8571
O3 0.3521 0.3946 0.8571
O4 0.3521 0.9575 0.6429
O5 0.3946 0.0425 0.1429
O6 0.3946 0.3521 0.3571
O7 0.6054 0.6479 0.6429
O8 0.6054 0.9575 0.8571
O9 0.6479 0.0425 0.3571
O10 0.6479 0.6054 0.1429
O11 0.9575 0.3521 0.1429
O12 0.9575 0.6054 0.3571
```

Computed properties:
As for the symmetry: P-31c, No. 163. For the density of states at the Fermi level, the calculation gives 3.5 states/eV/f.u. The size of the total moment is 0.000 μB per atom. Its uncorrected formation energy is -1265 meV per atom.

The following is a PBE calculation of RbLaO2F after structural relaxation, from the Alexandria database.

CIF file:
```
data_RbLaO2F
_cell_length_a 4.7683
_cell_length_b 4.7683
_cell_length_c 4.2250
_cell_angle_alpha 90.00
_cell_angle_beta 90.00
_cell_angle_gamma 90.00
_space_group_name_H-M_alt 'P 1'
_space_group_IT_number 1
_space_group_name_Hall 'P 1'
loop_
_atom_site_label
_atom_site_fract_x
_atom_site_fract_y
_atom_site_fract_z
Rb1 0.0000 0.0000 0.0000
La1 0.5000 0.5000 0.0000
O1 0.0000 0.5000 0.5000
O2 0.5000 0.0000 0.5000
F1 0.0000 0.0000 0.5000
```

Computed properties:
As for the symmetry: P4/mmm, No. 123. For the density of states at the Fermi level, the calculation gives 1.8 states/eV/f.u. The size of the total moment is 0.200 μB per atom. Its uncorrected formation energy is -645 meV per atom.

The following is a PBE calculation of Re3SnW after structural relaxation, from the Alexandria database.

CIF file:
```
data_Re3SnW
_cell_length_a 4.7080
_cell_length_b 4.7080
_cell_length_c 4.7080
_cell_angle_alpha 90.00
_cell_angle_beta 90.00
_cell_angle_gamma 90.00
_space_group_name_H-M_alt 'P 1'
_space_group_IT_number 1
_space_group_name_Hall 'P 1'
loop_
_atom_site_label
_atom_site_fract_x
_atom_site_fract_y
_atom_site_fract_z
Re1 0.0000 0.0000 0.5000
Re2 0.0000 0.5000 0.0000
Re3 0.5000 0.0000 0.0000
Sn1 0.0000 0.0000 0.0000
W1 0.5000 0.5000 0.5000
```

Computed properties:
As for the symmetry: Pm-3m, No. 221. For the density of states at the Fermi level, the calculation gives 3.7 states/eV/f.u. The size of the total moment is 0.000 μB per atom. The value obtained for the formation energy is 14.990 eV per formula unit.

The following is a PBE calculation of LiSiAs after structural relaxation, from the Alexandria database.

CIF file:
```
data_LiSiAs
_cell_length_a 3.6196
_cell_length_b 3.6196
_cell_length_c 5.2974
_cell_angle_alpha 90.00
_cell_angle_beta 90.00
_cell_angle_gamma 120.00
_space_group_name_H-M_alt 'P 1'
_space_group_IT_number 1
_space_group_name_Hall 'P 1'
loop_
_atom_site_label
_atom_site_fract_x
_atom_site_fract_y
_atom_site_fract_z
Li1 0.0000 0.0000 0.0000
Si1 0.3333 0.6667 0.3944
As1 0.6667 0.3333 0.6283
```

Computed properties:
As for the symmetry: P3m1, No. 156. The size of the total moment is 0.000 μB per atom. Its uncorrected formation energy is -189 meV per atom.

The following is a PBE calculation of PaBAs after structural relaxation, from the Alexandria database.

CIF file:
```
data_PaBAs
_cell_length_a 3.9950
_cell_length_b 3.9950
_cell_length_c 10.2175
_cell_angle_alpha 106.06
_cell_angle_beta 106.06
_cell_angle_gamma 46.07
_space_group_name_H-M_alt 'P 1'
_space_group_IT_number 1
_space_group_name_Hall 'P 1'
loop_
_atom_site_label
_atom_site_fract_x
_atom_site_fract_y
_atom_site_fract_z
Pa1 0.0675 0.0675 0.1718
Pa2 0.9325 0.9325 0.8282
B1 0.2931 0.2931 0.0060
B2 0.7069 0.7069 0.9940
As1 0.4446 0.4446 0.3739
As2 0.5554 0.5554 0.6261
```

Computed properties:
As for the symmetry: C2/m, No. 12. For the density of states at the Fermi level, the calculation gives 3.0 states/eV/f.u. The size of the total moment is 0.000 μB per atom. The value obtained for the formation energy is -1.111 eV per formula unit.

The following is a PBE calculation of CdIn5Cl8 after structural relaxation, from the Alexandria database.

CIF file:
```
data_CdIn5Cl8
_cell_length_a 8.2206
_cell_length_b 8.2206
_cell_length_c 8.2206
_cell_angle_alpha 112.77
_cell_angle_beta 112.77
_cell_angle_gamma 103.07
_space_group_name_H-M_alt 'P 1'
_space_group_IT_number 1
_space_group_name_Hall 'P 1'
loop_
_atom_site_label
_atom_site_fract_x
_atom_site_fract_y
_atom_site_fract_z
Cd1 0.0000 0.0000 0.0000
In1 0.2417 0.6362 0.1279
In2 0.3638 0.4917 0.6055
In3 0.5083 0.1138 0.8721
In4 0.7500 0.2500 0.5000
In5 0.8862 0.7583 0.3945
Cl1 0.1074 0.2696 0.7223
Cl2 0.1065 0.7645 0.8049
Cl3 0.2355 0.0404 0.3420
Cl4 0.5473 0.3850 0.2777
Cl5 0.6150 0.8926 0.1623
Cl6 0.6983 0.8935 0.6580
Cl7 0.7304 0.4527 0.8377
Cl8 0.9596 0.3017 0.1951
```

Computed properties:
As for the symmetry: I-4, No. 82. For the density of states at the Fermi level, the calculation gives 3.2 states/eV/f.u. The size of the total moment is 0.063 μB per atom. Its uncorrected formation energy is -829 meV per atom.

The following is a PBE calculation of NaMgAu after structural relaxation, from the Alexandria database.

CIF file:
```
data_NaMgAu
_cell_length_a 6.0820
_cell_length_b 6.0820
_cell_length_c 6.0820
_cell_angle_alpha 146.13
_cell_angle_beta 146.13
_cell_angle_gamma 48.66
_space_group_name_H-M_alt 'P 1'
_space_group_IT_number 1
_space_group_name_Hall 'P 1'
loop_
_atom_site_label
_atom_site_fract_x
_atom_site_fract_y
_atom_site_fract_z
Na1 0.0000 0.0000 0.0000
Mg1 0.2827 0.2827 0.0000
Au1 0.6834 0.6834 0.0000
```

Computed properties:
As for the symmetry: I4mm, No. 107. For the density of states at the Fermi level, the calculation gives 0.9 states/eV/f.u. The size of the total moment is 0.000 μB per atom. The value obtained for the formation energy is -0.883 eV per formula unit.

The following is a PBE calculation of CaPaSnBi after structural relaxation, from the Alexandria database.

CIF file:
```
data_CaPaSnBi
_cell_length_a 5.4384
_cell_length_b 5.4384
_cell_length_c 5.4384
_cell_angle_alpha 60.00
_cell_angle_beta 60.00
_cell_angle_gamma 60.00
_space_group_name_H-M_alt 'P 1'
_space_group_IT_number 1
_space_group_name_Hall 'P 1'
loop_
_atom_site_label
_atom_site_fract_x
_atom_site_fract_y
_atom_site_fract_z
Ca1 0.0000 0.0000 0.0000
Pa1 0.5000 0.5000 0.5000
Sn1 0.2500 0.2500 0.2500
Bi1 0.7500 0.7500 0.7500
```

Computed properties:
As for the symmetry: F-43m, No. 216. For the density of states at the Fermi level, the calculation gives 4.5 states/eV/f.u. The size of the total moment is 0.000 μB per atom. The value obtained for the formation energy is -0.928 eV per formula unit.

The following is a PBE calculation of Nd2ZnCd3 after structural relaxation, from the Alexandria database.

CIF file:
```
data_Nd2ZnCd3
_cell_length_a 9.2030
_cell_length_b 9.2030
_cell_length_c 9.2030
_cell_angle_alpha 157.34
_cell_angle_beta 148.55
_cell_angle_gamma 39.11
_space_group_name_H-M_alt 'P 1'
_space_group_IT_number 1
_space_group_name_Hall 'P 1'
loop_
_atom_site_label
_atom_site_fract_x
_atom_site_fract_y
_atom_site_fract_z
Nd1 0.0000 0.0000 0.0000
Nd2 0.7685 0.2685 0.5000
Zn1 0.4486 0.4486 0.0000
Cd1 0.1752 0.6752 0.5000
Cd2 0.3403 0.8403 0.5000
Cd3 0.6002 0.6002 0.0000
```

Computed properties:
As for the symmetry: Imm2, No. 44. For the density of states at the Fermi level, the calculation gives 5.7 states/eV/f.u. The size of the total moment is 0.000 μB per atom. The value obtained for the formation energy is -1.412 eV per formula unit.

The following is a PBE calculation of RbZnSn after structural relaxation, from the Alexandria database.

CIF file:
```
data_RbZnSn
_cell_length_a 7.1036
_cell_length_b 7.1036
_cell_length_c 7.1036
_cell_angle_alpha 147.59
_cell_angle_beta 147.59
_cell_angle_gamma 46.50
_space_group_name_H-M_alt 'P 1'
_space_group_IT_number 1
_space_group_name_Hall 'P 1'
loop_
_atom_site_label
_atom_site_fract_x
_atom_site_fract_y
_atom_site_fract_z
Rb1 0.0000 0.0000 0.0000
Zn1 0.2679 0.2679 0.0000
Sn1 0.7206 0.7206 0.0000
```

Computed properties:
As for the symmetry: I4mm, No. 107. For the density of states at the Fermi level, the calculation gives 2.1 states/eV/f.u. The size of the total moment is 0.000 μB per atom. The value obtained for the formation energy is 0.130 eV per formula unit.

The following is a PBE calculation of CuRe7 after structural relaxation, from the Alexandria database.

CIF file:
```
data_CuRe7
_cell_length_a 5.5073
_cell_length_b 5.5073
_cell_length_c 5.5073
_cell_angle_alpha 60.00
_cell_angle_beta 60.00
_cell_angle_gamma 60.00
_space_group_name_H-M_alt 'P 1'
_space_group_IT_number 1
_space_group_name_Hall 'P 1'
loop_
_atom_site_label
_atom_site_fract_x
_atom_site_fract_y
_atom_site_fract_z
Cu1 0.0000 0.0000 0.0000
Re1 0.0000 0.0000 0.5000
Re2 0.0000 0.5000 0.0000
Re3 0.0000 0.5000 0.5000
Re4 0.5000 0.0000 0.0000
Re5 0.5000 0.0000 0.5000
Re6 0.5000 0.5000 0.0000
Re7 0.5000 0.5000 0.5000
```

Computed properties:
As for the symmetry: Fm-3m, No. 225. For the density of states at the Fermi level, the calculation gives 8.5 states/eV/f.u. The size of the total moment is 0.000 μB per atom. The value obtained for the formation energy is 1.656 eV per formula unit.